Material: MnInPb4
Method: DFT, GGA-PBE
State: optimized geometry

Calculated values
E (eV per atom): -3.98
Formation enthalpy at 0 K (eV/atom): 0.476

Cell: 9.122 9.122 9.122 Å, 90.00 90.00 90.00°
Space group F-43m (No. 216)
Symmetry-distinct sites (fractional):
Mn1 0.000 0.000 0.000 (multiplicity 4)
In1 0.250 0.250 0.250 (multiplicity 4)
Pb1 0.126 0.126 0.626 (multiplicity 16)

Material: Dy4Tm5Mg
Method: DFT, GGA-PBE
State: optimized geometry

Calculated values
Offset from the most stable computed form (meV per atom): 0.0
E (eV per atom): -4.23
Formation enthalpy at 0 K (eV/atom): 0.005

Cell: 3.514 3.514 24.263 Å, 90.00 90.00 90.00°
Space group P4/mmm (No. 123)
Symmetry-distinct sites (fractional):
Dy1 0.000 0.000 0.103 (multiplicity 2)
Dy2 0.000 0.000 0.308 (multiplicity 2)
Tm1 0.500 0.500 0.000 (multiplicity 1)
Tm2 0.500 0.500 0.205 (multiplicity 2)
Tm3 0.500 0.500 0.408 (multiplicity 2)
Mg1 0.000 0.000 0.500 (multiplicity 1)

Material: Al2Tl2Bi
Method: DFT, GGA-PBE
State: optimized geometry

Calculated values
Offset from the most stable computed form (meV per atom): 113.7
E (eV per atom): -2.92
Formation enthalpy at 0 K (eV/atom): 0.303

Cell: 4.536 4.536 13.135 Å, 90.00 90.00 90.00°
Space group I4/mmm (No. 139)
Symmetry-distinct sites (fractional):
Al1 0.000 0.000 0.097 (multiplicity 4)
Tl1 0.000 0.500 0.250 (multiplicity 4)
Bi1 0.000 0.000 0.500 (multiplicity 2)

Material: Ce3Zn6Ge5
Method: DFT, GGA-PBE
State: optimized geometry

Calculated values
E (eV per atom): -3.88
Formation enthalpy at 0 K (eV/atom): -0.412

Cell: 4.236 12.694 10.055 Å, 90.00 90.00 90.00°
Space group Pmmn (No. 59, origin choice 2)
Symmetry-distinct sites (fractional):
Ce1 0.250 0.078 0.249 (multiplicity 4)
Ce2 0.250 0.750 0.244 (multiplicity 2)
Zn1 0.250 0.082 0.888 (multiplicity 4)
Zn2 0.250 0.250 0.029 (multiplicity 2)
Zn3 0.250 0.250 0.486 (multiplicity 2)
Zn4 0.250 0.595 0.509 (multiplicity 4)
Ge1 0.250 0.085 0.639 (multiplicity 4)
Ge2 0.250 0.613 0.977 (multiplicity 4)
Ge3 0.250 0.750 0.692 (multiplicity 2)

Material: CoAsOs2
Method: DFT, GGA-PBE
State: optimized geometry

Calculated values
E (eV per atom): -7.86
Formation enthalpy at 0 K (eV/atom): 0.689

Cell: 2.723 4.665 9.275 Å, 90.00 90.00 90.00°
Space group Cmmm (No. 65)
Symmetry-distinct sites (fractional):
Co1 0.000 0.000 0.000 (multiplicity 2)
As1 0.000 0.000 0.500 (multiplicity 2)
Os1 0.000 0.500 0.229 (multiplicity 4)